# 1
Computed, not measured: an optimized crystal structure of Ta2AlCd at the PBE-GGA level of DFT.

abc: 7.456 7.456 5.968
angles: 51.34 51.34 90.00
Sites, in units of the cell vectors:
1 Ta 0.875 0.865 0.750
2 Ta 0.375 0.385 0.750
3 Ta 0.615 0.125 0.250
4 Ta 0.135 0.625 0.250
5 Al 0.500 0.500 0.000
6 Al 0.250 0.750 0.500
7 Cd 0.750 0.250 0.500
8 Cd 0.000 0.000 0.000

# 2
Computed, not measured: an optimized crystal structure of CaTaTc at the PBE-GGA level of DFT.

abc: 4.732 4.732 2.942
angles: 90.00 90.00 120.00
Sites, in units of the cell vectors:
1 Ta 0.667 0.333 0.391
2 Ca 0.000 0.000 0.976
3 Tc 0.333 0.667 0.633

Number 1: energy relative to the lowest polymorph listed for this composition 606 meV/atom, energy of formation from the pure elements 242.8 kJ/mol of formula units. Number 2: energy relative to the lowest polymorph listed for this composition 335 meV/atom, energy of formation from the pure elements 151.3 kJ/mol of formula units.